Crystalline K2Zr2W at its relaxed geometry. Source: the Alexandria database, functional PBE.

Lattice parameters (Å, degrees): 5.376 5.376 8.485 90.00 90.00 90.00
Space group I4/mmm (No. 139)
Inequivalent atoms, fractional coordinates:
1 K 0.000 0.000 0.143
2 Zr 0.000 0.500 0.250
3 W 0.000 0.000 0.500

Properties
magnetic moment: 0.51 μB per formula unit
DFT formation energy: 2.11 eV per atom
V: 24.5 Å³/atom
DFT total energy: -0.31869 Ry per atom

***

Crystalline KZrW3 at its relaxed geometry. Source: the Alexandria database, functional PBE.

Lattice parameters (Å, degrees): 4.996 4.996 4.996 90.00 90.00 90.00
Space group Pm-3m (No. 221)
Inequivalent atoms, fractional coordinates:
1 K 0.000 0.000 0.000
2 Zr 0.500 0.500 0.500
3 W 0.000 0.500 0.500

Properties
magnetic moment: 0.00 μB per formula unit
DFT formation energy: 2.59 eV per atom
V: 24.9 Å³/atom
energy relative to the lowest polymorph listed for this composition: 0.0 meV/atom
DFT total energy: -0.52288 Ry per atom

***

Crystalline KZr2W at its relaxed geometry. Source: the Alexandria database, functional PBE.

Lattice parameters (Å, degrees): 8.437 3.175 8.760 90.00 93.74 90.00
Space group C2/m (No. 12)
Inequivalent atoms, fractional coordinates:
1 K 0.000 0.000 0.000
2 Zr 0.229 0.000 0.653
3 W 0.000 0.500 0.500

Properties
magnetic moment: 0.00 μB per formula unit
DFT formation energy: 0.66 eV per atom
V: 29.3 Å³/atom
energy relative to the lowest polymorph listed for this composition: 293.2 meV/atom
DFT total energy: -0.52370 Ry per atom

***

Crystalline KZr2W at its relaxed geometry. Source: the Alexandria database, functional PBE.

Lattice parameters (Å, degrees): 3.592 3.592 8.869 90.00 90.00 90.00
Space group P4mm (No. 99)
Inequivalent atoms, fractional coordinates:
1 K 0.000 0.000 0.000
2 Zr 0.000 0.000 0.436
3 Zr 0.500 0.500 0.626
4 W 0.500 0.500 0.313

Properties
magnetic moment: 0.00 μB per formula unit
DFT formation energy: 0.75 eV per atom
V: 28.6 Å³/atom
energy relative to the lowest polymorph listed for this composition: 383.3 meV/atom
DFT total energy: -0.51708 Ry per atom

***

Crystalline KZr2W at its relaxed geometry. Source: the Alexandria database, functional PBE.

Lattice parameters (Å, degrees): 3.123 6.173 10.757 90.00 90.00 90.00
Space group Immm (No. 71)
Inequivalent atoms, fractional coordinates:
1 K 0.000 0.000 0.000
2 Zr 0.000 0.500 0.202
3 W 0.000 0.000 0.500

Properties
magnetic moment: 0.00 μB per formula unit
DFT formation energy: 0.97 eV per atom
V: 25.9 Å³/atom
energy relative to the lowest polymorph listed for this composition: 605.8 meV/atom
DFT total energy: -0.50073 Ry per atom

***

Crystalline K4ZrW at its relaxed geometry. Source: the Alexandria database, functional PBE.

Lattice parameters (Å, degrees): 9.644 9.644 9.644 90.00 90.00 90.00
Space group F-43m (No. 216)
Inequivalent atoms, fractional coordinates:
1 K 0.124 0.124 0.124
2 Zr 0.000 0.000 0.500
3 W 0.250 0.250 0.750

Properties
magnetic moment: 1.03 μB per formula unit
DFT formation energy: 1.71 eV per atom
V: 37.4 Å³/atom
DFT total energy: -0.19117 Ry per atom

***

Crystalline K3ZrW at its relaxed geometry. Source: the Alexandria database, functional PBE.

Lattice parameters (Å, degrees): 6.588 6.588 6.588 90.00 90.00 90.00
Space group Pm-3m (No. 221)
Inequivalent atoms, fractional coordinates:
1 K 0.000 0.000 0.500
2 Zr 0.000 0.000 0.000
3 W 0.500 0.500 0.500

Properties
magnetic moment: 5.49 μB per formula unit
DFT formation energy: 2.58 eV per atom
V: 57.2 Å³/atom
energy relative to the lowest polymorph listed for this composition: 0.0 meV/atom
DFT total energy: -0.17457 Ry per atom

***

Crystalline KZr2W at its relaxed geometry. Source: the Alexandria database, functional PBE.

Lattice parameters (Å, degrees): 7.065 7.065 7.065 90.00 90.00 90.00
Space group Fm-3m (No. 225)
Inequivalent atoms, fractional coordinates:
1 K 0.000 0.000 0.000
2 Zr 0.250 0.250 0.250
3 W 0.000 0.000 0.500

Properties
magnetic moment: 0.00 μB per formula unit
DFT formation energy: 1.04 eV per atom
V: 22.0 Å³/atom
energy relative to the lowest polymorph listed for this composition: 675.0 meV/atom
DFT total energy: -0.49564 Ry per atom